V3SiNi | PBE | optimized geometry

* energy relative to the elements, uncorrected: 771 meV per atom
* total moment: 0.000 μB per cell
* uncorrected energy: -0.51018 Ry/atom
* calculated volume: 79.03 Å³/cell

Lattice parameters (Å, degrees): 4.2914 4.2914 4.2914 90.00 90.00 90.00
Closest atoms and distances in Å follow each position.
Sites, in units of the cell vectors:
V 0.0000 0.0000 0.5000  2 Ni 2.15
V 0.0000 0.5000 0.0000  2 Ni 2.15
V 0.5000 0.0000 0.0000  2 Ni 2.15
Si 0.5000 0.5000 0.5000  12 V 3.03
Ni 0.0000 0.0000 0.0000  6 V 2.15


VSiNi14 | PBE | optimized geometry

* energy relative to the elements, uncorrected: -151 meV per atom
* total moment: 3.926 μB per cell
* uncorrected energy: -0.44973 Ry/atom
* calculated volume: 174.75 Å³/cell

Lattice parameters (Å, degrees): 5.0013 5.0013 6.9861 90.00 90.00 90.00
Closest atoms and distances in Å follow each position.
Sites, in units of the cell vectors:
V 0.0000 0.0000 0.0000  12 Ni 2.48-2.50
Si 0.5000 0.5000 0.0000  12 Ni 2.47-2.50
Ni 0.0000 0.0000 0.5000  12 Ni 2.50
Ni 0.0000 0.5000 0.0000  8 Ni 2.47, 2 Si 2.50, 2 V 2.50
Ni 0.0000 0.5000 0.5000  12 Ni 2.50
Ni 0.2513 0.2513 0.2474  1 Si 2.47, 10 Ni 2.47-2.51, 1 V 2.48
Ni 0.2513 0.2513 0.7526  1 Si 2.47, 10 Ni 2.47-2.51, 1 V 2.48
Ni 0.2513 0.7487 0.2474  1 Si 2.47, 10 Ni 2.47-2.51, 1 V 2.48
Ni 0.2513 0.7487 0.7526  1 Si 2.47, 10 Ni 2.47-2.51, 1 V 2.48
Ni 0.5000 0.0000 0.0000  8 Ni 2.47, 2 Si 2.50, 2 V 2.50
Ni 0.5000 0.0000 0.5000  12 Ni 2.50
Ni 0.5000 0.5000 0.5000  12 Ni 2.49-2.50
Ni 0.7487 0.2513 0.2474  1 Si 2.47, 10 Ni 2.47-2.51, 1 V 2.48
Ni 0.7487 0.2513 0.7526  1 Si 2.47, 10 Ni 2.47-2.51, 1 V 2.48
Ni 0.7487 0.7487 0.2474  1 Si 2.47, 10 Ni 2.47-2.51, 1 V 2.48
Ni 0.7487 0.7487 0.7526  1 Si 2.47, 10 Ni 2.47-2.51, 1 V 2.48


VSiNi4 | PBE | optimized geometry

* energy relative to the elements, uncorrected: -5 meV per atom
* total moment: 0.000 μB per cell
* uncorrected energy: -0.46181 Ry/atom
* calculated volume: 78.39 Å³/cell

Lattice parameters (Å, degrees): 3.7984 3.7984 5.4328 90.00 90.00 90.00
Closest atoms and distances in Å follow each position.
Sites, in units of the cell vectors:
V 0.0000 0.0000 0.0000  8 Ni 2.37
Si 0.5000 0.5000 0.5000  8 Ni 2.30
Ni 0.0000 0.5000 0.2605  2 Si 2.30, 2 V 2.37
Ni 0.0000 0.5000 0.7395  2 Si 2.30, 2 V 2.37
Ni 0.5000 0.0000 0.2605  2 Si 2.30, 2 V 2.37
Ni 0.5000 0.0000 0.7395  2 Si 2.30, 2 V 2.37


VSi2Ni4 | PBE | optimized geometry

* energy relative to the elements, uncorrected: -395 meV per atom
* total moment: 4.764 μB per cell
* uncorrected energy: -0.48144 Ry/atom
* calculated volume: 169.10 Å³/cell

Lattice parameters (Å, degrees): 6.8235 6.8235 3.6320 90.00 90.00 90.00
Closest atoms and distances in Å follow each position.
Sites, in units of the cell vectors:
V 0.0000 0.0000 0.0000  6 Si 2.71-2.79, 12 Ni 2.99-3.03
V 0.5000 0.5000 0.5000  6 Si 2.71-2.79, 12 Ni 2.99-3.03
Si 0.2192 0.2192 0.5000  6 Ni 2.24-2.28
Si 0.2808 0.7192 0.0000  6 Ni 2.24-2.28
Si 0.7192 0.2808 0.0000  6 Ni 2.24-2.28
Si 0.7808 0.7808 0.5000  6 Ni 2.24-2.28
Ni 0.0871 0.6623 0.5000  3 Si 2.24-2.28, 1 Ni 2.42
Ni 0.1623 0.4129 0.0000  3 Si 2.24-2.28, 1 Ni 2.42
Ni 0.3377 0.9129 0.5000  3 Si 2.24-2.28, 1 Ni 2.42
Ni 0.4129 0.1623 0.0000  3 Si 2.24-2.28, 1 Ni 2.42
Ni 0.5871 0.8377 0.0000  3 Si 2.24-2.28, 1 Ni 2.42
Ni 0.6623 0.0871 0.5000  3 Si 2.24-2.28, 1 Ni 2.42
Ni 0.8377 0.5871 0.0000  3 Si 2.24-2.28, 1 Ni 2.42
Ni 0.9129 0.3377 0.5000  3 Si 2.24-2.28, 1 Ni 2.42


V4Si2Ni | PBE | optimized geometry

* energy relative to the elements, uncorrected: 526 meV per atom
* total moment: 2.747 μB per cell
* uncorrected energy: -0.51891 Ry/atom
* calculated volume: 113.17 Å³/cell

Lattice parameters (Å, degrees): 7.1602 7.1602 7.1602 146.19 146.19 48.56
Closest atoms and distances in Å follow each position.
Sites, in units of the cell vectors:
V 0.0000 0.5000 0.5000  2 Ni 2.08
V 0.1775 0.1775 0.0000  1 Ni 2.32, 1 Si 2.49
V 0.5000 0.0000 0.5000  2 Ni 2.08
V 0.8225 0.8225 0.0000  1 Ni 2.32, 1 Si 2.49
Si 0.3680 0.3680 0.0000  5 V 2.49-2.70
Si 0.6320 0.6320 0.0000  5 V 2.49-2.70
Ni 0.0000 0.0000 0.0000  6 V 2.08-2.32


V6Si7Ni16 | PBE | optimized geometry

* energy relative to the elements, uncorrected: -469 meV per atom
* total moment: 7.414 μB per cell
* uncorrected energy: -0.50380 Ry/atom
* calculated volume: 338.26 Å³/cell

Lattice parameters (Å, degrees): 7.8209 7.8209 7.8209 60.00 60.00 60.00
Closest atoms and distances in Å follow each position.
Sites, in units of the cell vectors:
V 0.1884 0.1884 0.8116  8 Ni 2.61-2.83, 4 Si 2.85
V 0.1884 0.8116 0.1884  8 Ni 2.61-2.83, 4 Si 2.85
V 0.1884 0.8116 0.8116  8 Ni 2.61-2.83, 4 Si 2.85
V 0.8116 0.1884 0.1884  8 Ni 2.61-2.83, 4 Si 2.85
V 0.8116 0.1884 0.8116  8 Ni 2.61-2.83, 4 Si 2.85
V 0.8116 0.8116 0.1884  8 Ni 2.61-2.83, 4 Si 2.85
Si 0.0000 0.0000 0.5000  8 Ni 2.26-2.45
Si 0.0000 0.5000 0.0000  8 Ni 2.26-2.45
Si 0.0000 0.5000 0.5000  8 Ni 2.26-2.45
Si 0.5000 0.0000 0.0000  8 Ni 2.26-2.45
Si 0.5000 0.0000 0.5000  8 Ni 2.26-2.45
Si 0.5000 0.5000 0.0000  8 Ni 2.26-2.45
Si 0.5000 0.5000 0.5000  8 Ni 2.24
Ni 0.1485 0.6172 0.6172  4 Si 2.24-2.45
Ni 0.1661 0.1661 0.1661  3 Si 2.26, 3 Ni 2.52
Ni 0.1661 0.1661 0.5017  3 Si 2.26, 3 Ni 2.52
Ni 0.1661 0.5017 0.1661  3 Si 2.26, 3 Ni 2.52
Ni 0.3828 0.3828 0.3828  4 Si 2.24-2.45
Ni 0.3828 0.3828 0.8515  4 Si 2.24-2.45
Ni 0.3828 0.8515 0.3828  4 Si 2.24-2.45
Ni 0.4983 0.8339 0.8339  3 Si 2.26, 3 Ni 2.52
Ni 0.5017 0.1661 0.1661  3 Si 2.26, 3 Ni 2.52
Ni 0.6172 0.1485 0.6172  4 Si 2.24-2.45
Ni 0.6172 0.6172 0.1485  4 Si 2.24-2.45
Ni 0.6172 0.6172 0.6172  4 Si 2.24-2.45
Ni 0.8339 0.4983 0.8339  3 Si 2.26, 3 Ni 2.52
Ni 0.8339 0.8339 0.4983  3 Si 2.26, 3 Ni 2.52
Ni 0.8339 0.8339 0.8339  3 Si 2.26, 3 Ni 2.52
Ni 0.8515 0.3828 0.3828  4 Si 2.24-2.45


V4SiNi | PBE | optimized geometry

* energy relative to the elements, uncorrected: -145 meV per atom
* total moment: 0.001 μB per cell
* uncorrected energy: -0.59474 Ry/atom
* calculated volume: 153.49 Å³/cell

Lattice parameters (Å, degrees): 4.8124 7.2949 4.4773 90.00 102.44 90.00
Closest atoms and distances in Å follow each position.
Sites, in units of the cell vectors:
V 0.1832 0.1677 0.0284  5 V 2.40-2.55, 2 Ni 2.57-2.64, 1 Si 2.63
V 0.1832 0.3323 0.5284  5 V 2.40-2.55, 2 Ni 2.57-2.64, 1 Si 2.63
V 0.3149 0.6669 0.4728  5 V 2.40-2.55, 2 Si 2.58-2.63, 1 Ni 2.62
V 0.3149 0.8331 0.9728  5 V 2.40-2.55, 2 Si 2.58-2.63, 1 Ni 2.62
V 0.6851 0.1669 0.0272  5 V 2.40-2.55, 2 Si 2.58-2.63, 1 Ni 2.62
V 0.6851 0.3331 0.5272  5 V 2.40-2.55, 2 Si 2.58-2.63, 1 Ni 2.62
V 0.8168 0.6677 0.4716  5 V 2.40-2.55, 2 Ni 2.57-2.64, 1 Si 2.63
V 0.8168 0.8323 0.9716  5 V 2.40-2.55, 2 Ni 2.57-2.64, 1 Si 2.63
Si 0.5000 0.0000 0.5000  2 Ni 2.41, 6 V 2.58-2.63
Si 0.5000 0.5000 0.0000  2 Ni 2.41, 6 V 2.58-2.63
Ni 0.0000 0.0000 0.5000  2 Si 2.41, 6 V 2.57-2.64
Ni 0.0000 0.5000 0.0000  2 Si 2.41, 6 V 2.57-2.64


VSi3Ni12 | PBE | optimized geometry

* energy relative to the elements, uncorrected: -398 meV per atom
* total moment: 0.000 μB per cell
* uncorrected energy: -0.46454 Ry/atom
* calculated volume: 174.15 Å³/cell

Lattice parameters (Å, degrees): 3.5221 3.5221 14.0380 90.00 90.00 90.00
Closest atoms and distances in Å follow each position.
Sites, in units of the cell vectors:
V 0.0000 0.0000 0.0000  12 Ni 2.49-2.50
Si 0.0000 0.0000 0.2542  12 Ni 2.45-2.52
Si 0.0000 0.0000 0.5000  12 Ni 2.48-2.49
Si 0.0000 0.0000 0.7458  12 Ni 2.45-2.52
Ni 0.0000 0.5000 0.1260  8 Ni 2.48-2.50, 2 V 2.50, 2 Si 2.52
Ni 0.0000 0.5000 0.3755  4 Si 2.45-2.48, 8 Ni 2.48-2.49
Ni 0.0000 0.5000 0.6245  4 Si 2.45-2.48, 8 Ni 2.48-2.49
Ni 0.0000 0.5000 0.8740  8 Ni 2.48-2.50, 2 V 2.50, 2 Si 2.52
Ni 0.5000 0.0000 0.1260  8 Ni 2.48-2.50, 2 V 2.50, 2 Si 2.52
Ni 0.5000 0.0000 0.3755  4 Si 2.45-2.48, 8 Ni 2.48-2.49
Ni 0.5000 0.0000 0.6245  4 Si 2.45-2.48, 8 Ni 2.48-2.49
Ni 0.5000 0.0000 0.8740  8 Ni 2.48-2.50, 2 V 2.50, 2 Si 2.52
Ni 0.5000 0.5000 0.0000  4 V 2.49, 8 Ni 2.50
Ni 0.5000 0.5000 0.2507  8 Ni 2.48, 4 Si 2.49
Ni 0.5000 0.5000 0.5000  8 Ni 2.48, 4 Si 2.49
Ni 0.5000 0.5000 0.7493  8 Ni 2.48, 4 Si 2.49


Repeat the first record exactly.
V3SiNi | PBE | optimized geometry

* energy relative to the elements, uncorrected: 771 meV per atom
* total moment: 0.000 μB per cell
* uncorrected energy: -0.51018 Ry/atom
* calculated volume: 79.03 Å³/cell

Lattice parameters (Å, degrees): 4.2914 4.2914 4.2914 90.00 90.00 90.00
Closest atoms and distances in Å follow each position.
Sites, in units of the cell vectors:
V 0.0000 0.0000 0.5000  2 Ni 2.15
V 0.0000 0.5000 0.0000  2 Ni 2.15
V 0.5000 0.0000 0.0000  2 Ni 2.15
Si 0.5000 0.5000 0.5000  12 V 3.03
Ni 0.0000 0.0000 0.0000  6 V 2.15


Q: What is the formula in the sixth record?
A: V6Si7Ni16


Q: Among the records above, which one has the lowest calculated volume?
A: VSiNi4


Q: Which of these has the highest total moment?
A: V6Si7Ni16